# Rb3U2PaAs6

An optimized crystal structure of Rb3U2PaAs6 (PBE, the Alexandria database).

ρ	6.2	Mg/m³
energy	-5.874	eV per atom

Lattice parameters (Å, degrees): 7.439 7.439 8.318 98.57 98.57 120.00
Sites, in units of the cell vectors:
Rb1 0.000 0.000 0.000
Rb2 0.334 0.666 0.000
Rb3 0.666 0.334 0.000
U1 0.167 0.833 0.500
U2 0.833 0.167 0.500
Pa1 0.500 0.500 0.500
As1 0.106 0.441 0.323
As2 0.223 0.223 0.676
As3 0.441 0.106 0.323
As4 0.559 0.894 0.677
As5 0.777 0.777 0.324
As6 0.894 0.559 0.677